No. 1
Here is a crystal of TiHg6As4Cl7 relaxed with PBEsol from the Alexandria database. Energies are from meta-GGA SCAN.

Results
Spin magnetization ... 2.86 Bohr magnetons per cell
ρ ... 6.641 Mg/m³
Formation energy (no corrections) ... -0.732 eV per atom
D(E_F) ... 4.9 states/eV/f.u.
Electronic total energy ... -31.93 eV per atom

a = 12.1633 Å, b = 12.1633 Å, c = 12.1633 Å
α = 90.00°, β = 90.00°, γ = 90.00°
Space group Pa-3 (No. 205)
Symmetry-distinct sites (fractional):
Ti  0.0000  0.0000  0.0000
Hg  0.0514  0.1821  0.6968
As  0.1455  0.6455  0.8545
As  0.2377  0.2377  0.2377
Cl  0.0000  0.0000  0.5000
Cl  0.0385  0.5470  0.3144



No. 2
Here is a crystal of TlHg3As2Cl3 relaxed with PBEsol from the Alexandria database. Energies are from meta-GGA SCAN.

Results
Spin magnetization ... 0.00 Bohr magnetons per cell
ρ ... 7.530 Mg/m³
Formation energy (no corrections) ... -0.562 eV per atom
Electronic total energy ... -38.47 eV per atom

a = 6.1939 Å, b = 12.3352 Å, c = 12.2656 Å
α = 90.00°, β = 90.00°, γ = 90.00°
Space group Pbcm (No. 57)
Symmetry-distinct sites (fractional):
Tl  0.0195  0.2496  0.2500
Hg  0.0000  0.0000  0.0000
Hg  0.4564  0.0177  0.2500
Hg  0.4614  0.2500  0.0000
As  0.3783  0.0561  0.0516
Cl  0.0944  0.7500  0.0000
Cl  0.0990  0.9997  0.7500
Cl  0.4559  0.7069  0.7500



No. 3
Here is a crystal of AsI3Cl relaxed with PBEsol from the Alexandria database. Energies are from meta-GGA SCAN.

Results
Spin magnetization ... 2.34 Bohr magnetons per cell
ρ ... 4.663 Mg/m³
Formation energy (no corrections) ... 0.838 eV per atom
D(E_F) ... 6.2 states/eV/f.u.
Electronic total energy ... -26.84 eV per atom

a = 5.5920 Å, b = 5.5920 Å, c = 5.5920 Å
α = 90.00°, β = 90.00°, γ = 90.00°
Space group Pm-3m (No. 221)
Symmetry-distinct sites (fractional):
As  0.0000  0.0000  0.0000
I  0.0000  0.5000  0.5000
Cl  0.5000  0.5000  0.5000



No. 4
Here is a crystal of AsI2NCl relaxed with PBEsol from the Alexandria database. Energies are from meta-GGA SCAN.

Results
Spin magnetization ... 0.00 Bohr magnetons per cell
ρ ... 4.963 Mg/m³
Formation energy (no corrections) ... 0.759 eV per atom
D(E_F) ... 4.2 states/eV/f.u.
Electronic total energy ... -21.43 eV per atom

a = 6.0080 Å, b = 6.0080 Å, c = 3.5053 Å
α = 90.00°, β = 90.00°, γ = 90.00°
Space group P4/mmm (No. 123)
Symmetry-distinct sites (fractional):
As  0.0000  0.0000  0.0000
I  0.0000  0.5000  0.0000
N  0.0000  0.0000  0.5000
Cl  0.5000  0.5000  0.5000



No. 5
Here is a crystal of AsI2NCl relaxed with PBEsol from the Alexandria database. Energies are from meta-GGA SCAN.

Results
Spin magnetization ... 1.03 Bohr magnetons per cell
ρ ... 4.568 Mg/m³
Formation energy (no corrections) ... 1.446 eV per atom
D(E_F) ... 3.2 states/eV/f.u.
Electronic total energy ... -20.74 eV per atom

a = 6.5362 Å, b = 6.5362 Å, c = 3.2179 Å
α = 90.00°, β = 90.00°, γ = 90.00°
Space group P4/mmm (No. 123)
Symmetry-distinct sites (fractional):
As  0.0000  0.0000  0.0000
I  0.0000  0.5000  0.5000
N  0.5000  0.5000  0.0000
Cl  0.5000  0.5000  0.5000



No. 6
Here is a crystal of As2Pb4S6ICl relaxed with PBEsol from the Alexandria database. Energies are from meta-GGA SCAN.

Results
Spin magnetization ... 0.00 Bohr magnetons per cell
ρ ... 6.344 Mg/m³
Formation energy (no corrections) ... -0.508 eV per atom
D(E_F) ... 0.0 states/eV/f.u.
Electronic total energy ... -32.36 eV per atom

a = 6.5896 Å, b = 11.4255 Å, c = 9.2709 Å
α = 90.00°, β = 90.00°, γ = 90.00°
Space group Pmn2_1 (No. 31)
Symmetry-distinct sites (fractional):
As  0.0000  0.1726  0.0000
As  0.0000  0.6746  0.5699
Pb  0.0000  0.3768  0.3493
Pb  0.0000  0.4155  0.8118
Pb  0.0000  0.8783  0.2237
Pb  0.0000  0.9295  0.7405
S  0.0000  0.1498  0.2406
S  0.0000  0.6511  0.3283
S  0.2461  0.4532  0.1149
S  0.2491  0.9567  0.4513
I  0.0000  0.7022  0.9368
Cl  0.0000  0.2047  0.6483



No. 7
Here is a crystal of SbAsI2Cl relaxed with PBEsol from the Alexandria database. Energies are from meta-GGA SCAN.

Results
Spin magnetization ... 1.18 Bohr magnetons per cell
ρ ... 4.959 Mg/m³
Formation energy (no corrections) ... 0.984 eV per atom
D(E_F) ... 4.6 states/eV/f.u.
Electronic total energy ... -26.80 eV per atom

a = 5.5195 Å, b = 5.5195 Å, c = 5.3413 Å
α = 90.00°, β = 90.00°, γ = 90.00°
Space group P4/mmm (No. 123)
Symmetry-distinct sites (fractional):
Sb  0.0000  0.0000  0.0000
As  0.5000  0.5000  0.0000
I  0.0000  0.5000  0.5000
Cl  0.0000  0.0000  0.5000



No. 8
Here is a crystal of SbAsI2Cl relaxed with PBEsol from the Alexandria database. Energies are from meta-GGA SCAN.

Results
Spin magnetization ... 0.00 Bohr magnetons per cell
ρ ... 4.909 Mg/m³
Formation energy (no corrections) ... 0.323 eV per atom
D(E_F) ... 3.2 states/eV/f.u.
Electronic total energy ... -27.46 eV per atom

a = 5.4452 Å, b = 5.4452 Å, c = 5.5439 Å
α = 90.00°, β = 90.00°, γ = 90.00°
Space group P4/mmm (No. 123)
Symmetry-distinct sites (fractional):
Sb  0.0000  0.0000  0.0000
As  0.0000  0.0000  0.5000
I  0.0000  0.5000  0.5000
Cl  0.5000  0.5000  0.0000



No. 9
Here is a crystal of As2SeICl relaxed with PBEsol from the Alexandria database. Energies are from meta-GGA SCAN.

Results
Spin magnetization ... 0.00 Bohr magnetons per cell
ρ ... 5.251 Mg/m³
Formation energy (no corrections) ... 1.123 eV per atom
D(E_F) ... 6.0 states/eV/f.u.
Electronic total energy ... -19.91 eV per atom

a = 5.0216 Å, b = 5.0216 Å, c = 4.9054 Å
α = 90.00°, β = 90.00°, γ = 90.00°
Space group P4/mmm (No. 123)
Symmetry-distinct sites (fractional):
As  0.0000  0.5000  0.0000
Se  0.0000  0.0000  0.5000
I  0.5000  0.5000  0.5000
Cl  0.0000  0.0000  0.0000



No. 10
Here is a crystal of SiAsICl2 relaxed with PBEsol from the Alexandria database. Energies are from meta-GGA SCAN.

Results
Spin magnetization ... 0.00 Bohr magnetons per cell
ρ ... 4.447 Mg/m³
Formation energy (no corrections) ... -0.070 eV per atom
D(E_F) ... 2.0 states/eV/f.u.
Electronic total energy ... -16.65 eV per atom

a = 4.5441 Å, b = 4.5441 Å, c = 5.4404 Å
α = 90.00°, β = 90.00°, γ = 90.00°
Space group P4/mmm (No. 123)
Symmetry-distinct sites (fractional):
Si  0.0000  0.0000  0.0000
As  0.0000  0.0000  0.5000
I  0.5000  0.5000  0.5000
Cl  0.0000  0.5000  0.0000



No. 11
Here is a crystal of In3AsCl relaxed with PBEsol from the Alexandria database. Energies are from meta-GGA SCAN.

Results
Spin magnetization ... 0.00 Bohr magnetons per cell
ρ ... 4.512 Mg/m³
Formation energy (no corrections) ... 0.075 eV per atom
D(E_F) ... 4.8 states/eV/f.u.
Electronic total energy ... -25.59 eV per atom

a = 5.5111 Å, b = 5.5111 Å, c = 5.5111 Å
α = 90.00°, β = 90.00°, γ = 90.00°
Space group Pm-3m (No. 221)
Symmetry-distinct sites (fractional):
In  0.0000  0.0000  0.5000
As  0.0000  0.0000  0.0000
Cl  0.5000  0.5000  0.5000



No. 12
Here is a crystal of InAs2Cl relaxed with PBEsol from the Alexandria database. Energies are from meta-GGA SCAN.

Results
Spin magnetization ... 0.00 Bohr magnetons per cell
ρ ... 6.276 Mg/m³
Formation energy (no corrections) ... 0.288 eV per atom
D(E_F) ... 1.8 states/eV/f.u.
Electronic total energy ... -20.15 eV per atom

a = 6.8229 Å, b = 6.8229 Å, c = 6.8229 Å
α = 90.00°, β = 90.00°, γ = 90.00°
Space group Fm-3m (No. 225)
Symmetry-distinct sites (fractional):
In  0.0000  0.0000  0.0000
As  0.2500  0.2500  0.2500
Cl  0.0000  0.0000  0.5000